1.
DFT (PBE) results for crystalline Pr3B2SbRh9 at its relaxed geometry.

abc: 6.1966 6.1966 7.9660
angles: 90.00 90.00 120.00
Space group P-3m1 (No. 164)
Asymmetric unit:
Pr (0.0000, 0.0000, 0.0000) [1 per cell]
Pr (0.3333, 0.6667, 0.6651) [2 per cell]
B (0.3333, 0.6667, 0.1352) [2 per cell]
Sb (0.0000, 0.0000, 0.5000) [1 per cell]
Rh (0.0000, 0.5000, 0.0000) [3 per cell]
Rh (0.1802, 0.3604, 0.2970) [6 per cell]

The formation energy from raw total energies comes out at -0.570 eV/atom.

---

2.
DFT (PBE) results for crystalline Pr2B3SbRh12 at its relaxed geometry.

abc: 7.5521 7.5521 17.5956
angles: 90.00 90.00 120.00
Space group R-3m (No. 166, hexagonal axes)
Asymmetric unit:
Pr (0.0000, 0.0000, 0.0917) [6 per cell]
B (0.0000, 0.5000, 0.0000) [9 per cell]
Sb (0.0000, 0.0000, 0.5000) [3 per cell]
Rh (0.0648, 0.5324, 0.8823) [18 per cell]
Rh (0.0734, 0.5367, 0.3075) [18 per cell]

The formation energy from raw total energies comes out at -0.167 eV/atom.

---

3.
DFT (PBE) results for crystalline Pr3SiB2Rh9 at its relaxed geometry.

abc: 6.1546 6.1546 7.5494
angles: 90.00 90.00 120.00
Space group P-3m1 (No. 164)
Asymmetric unit:
Pr (0.0000, 0.0000, 0.0000) [1 per cell]
Pr (0.3333, 0.6667, 0.6656) [2 per cell]
Si (0.0000, 0.0000, 0.5000) [1 per cell]
B (0.3333, 0.6667, 0.1500) [2 per cell]
Rh (0.0000, 0.5000, 0.0000) [3 per cell]
Rh (0.1759, 0.3517, 0.3203) [6 per cell]

The formation energy from raw total energies comes out at -0.693 eV/atom.

---

4.
DFT (PBE) results for crystalline PrSiBRh6 at its relaxed geometry.

abc: 6.051 8.685 11.086
angles: 90.00 90.00 90.00
Space group Imma (No. 74)
Asymmetric unit:
Pr (0.000, 0.250, 0.186) [4 per cell]
Si (0.250, 0.250, 0.750) [4 per cell]
B (0.000, 0.000, 0.500) [4 per cell]
Rh (0.000, 0.250, 0.473) [4 per cell]
Rh (0.000, 0.250, 0.915) [4 per cell]
Rh (0.238, 0.018, 0.627) [16 per cell]

The formation energy from raw total energies comes out at -0.220 eV/atom.

---

5.
DFT (PBE) results for crystalline Pr2SiBRh6 at its relaxed geometry.

abc: 6.214 8.791 6.212
angles: 90.00 90.00 90.00
Space group Pmmn (No. 59, origin choice 2)
Asymmetric unit:
Pr (0.250, 0.000, 0.250) [4 per cell]
Si (0.250, 0.250, 0.748) [2 per cell]
B (0.250, 0.750, 0.752) [2 per cell]
Rh (0.012, 0.750, 0.989) [4 per cell]
Rh (0.013, 0.750, 0.513) [4 per cell]
Rh (0.250, 0.512, 0.751) [4 per cell]

The formation energy from raw total energies comes out at -0.698 eV/atom.

---

6.
DFT (PBE) results for crystalline Pr2SnB3Rh12 at its relaxed geometry.

abc: 7.5485 7.5485 17.5763
angles: 90.00 90.00 120.00
Space group R-3m (No. 166, hexagonal axes)
Asymmetric unit:
Pr (0.0000, 0.0000, 0.0913) [6 per cell]
Sn (0.0000, 0.0000, 0.5000) [3 per cell]
B (0.0000, 0.5000, 0.0000) [9 per cell]
Rh (0.0720, 0.5360, 0.8831) [18 per cell]
Rh (0.0737, 0.5368, 0.3065) [18 per cell]

As for the formation energy from the elements: -0.17 eV per atom.

---

Quick rundown of magnetization, same order as above: 0.00; 0.00; 0.00; 0.00; 0.00; 0.00 Bohr magnetons per cell